# 1
# Tb8Tl2Ir3, relaxed, DFT PBE-GGA
# E_form, eV/atom: -0.484
# ρ, Mg/m³: 10.4
# ΔE to the lowest computed polymorph, eV/atom: 0.000
data_Tb8Tl2Ir3
_space_group_name_H-M_alt 'P 1 2/m 1'
_space_group_IT_number 10
_cell_length_a 8.875
_cell_length_b 4.951
_cell_length_c 8.881
_cell_angle_alpha 90.00
_cell_angle_beta 112.04
_cell_angle_gamma 90.00
loop_
_space_group_symop_operation_xyz
'x,y,z'
'-x,-y,-z'
'-x,y,-z'
'x,-y,z'
loop_
_atom_site_label
_atom_site_fract_x
_atom_site_fract_y
_atom_site_fract_z
_atom_site_occupancy
Tb1 0.111 0.000 0.389 1
Tb2 0.143 0.500 0.867 1
Tb3 0.367 0.500 0.643 1
Tb4 0.386 0.000 0.113 1
Tl1 0.243 0.500 0.258 1
Ir1 0.246 0.000 0.746 1
Ir2 0.500 0.500 0.000 1

# 2
# Tb12Tl6Ir, relaxed, DFT PBE-GGA
# E_form, eV/atom: -0.213
# ρ, Mg/m³: 9.5
data_Tb12Tl6Ir
_space_group_name_H-M_alt 'R -3'
_space_group_IT_number 148
_space_group_name_Hall '-R 3'
_cell_length_a 12.2338
_cell_length_b 12.2338
_cell_length_c 13.5141
_cell_angle_alpha 90.00
_cell_angle_beta 90.00
_cell_angle_gamma 120.00
loop_
_atom_site_label
_atom_site_fract_x
_atom_site_fract_y
_atom_site_fract_z
_atom_site_occupancy
Tb1 0.0324 0.8436 0.3753 1
Tb2 0.0336 0.1879 0.8925 1
Tl1 0.0092 0.3965 0.7624 1
Ir1 0.0000 0.0000 0.5000 1